# 1
The following is a PBE-GGA calculation of an optimized crystal structure of ErGa2Ag4, from Alexandria.

a = 4.3117 Å, b = 4.1109 Å, c = 7.8741 Å
α = 105.13°, β = 90.00°, γ = 90.00°
Last column: nearest neighbours and their distance in Å.
Fractional positions:
1 Er 0.0000 0.0000 0.0000  8 Ga 3.21, 8 Ag 3.42-3.53
2 Ga 0.5000 0.5794 0.1587  1 Ga 2.41, 4 Ag 2.59-2.64
3 Ga 0.5000 0.4206 0.8413  1 Ga 2.41, 4 Ag 2.59-2.64
4 Ag 0.5000 0.8165 0.6331  2 Ga 2.59, 2 Ag 2.88
5 Ag 0.0000 0.6796 0.3591  2 Ga 2.64
6 Ag 0.5000 0.1835 0.3669  2 Ga 2.59, 2 Ag 2.88
7 Ag 0.0000 0.3204 0.6409  2 Ga 2.64

Energy above the lowest structure with this stoichiometry in meV per atom: 0
Electronic total energy in eV per cell: -23.51
Size of the total moment in μB per atom: 0.000
Space-group type: Cmmm, No. 65
ΔE_f in eV per atom: -0.2127


# 2
The following is a PBE-GGA calculation of an optimized crystal structure of CoSiWCl2, from Alexandria.

a = 4.8053 Å, b = 4.8053 Å, c = 4.5552 Å
α = 90.00°, β = 90.00°, γ = 90.00°
Last column: nearest neighbours and their distance in Å.
Fractional positions:
1 Si 0.0000 0.0000 0.0000  2 Co 2.28, 4 Cl 2.40
2 Co 0.0000 0.0000 0.5000  2 Si 2.28
3 W 0.5000 0.5000 0.5000  8 Cl 3.31, 4 Co 3.40
4 Cl 0.0000 0.5000 0.0000  2 Si 2.40
5 Cl 0.5000 0.0000 0.0000  2 Si 2.40

Energy above the lowest structure with this stoichiometry in meV per atom: 444
Electronic total energy in eV per cell: -21.59
Size of the total moment in μB per atom: 1.119
Space-group type: P4/mmm, No. 123
Formation energy (no corrections) in eV per atom: 1.52


# 3
The following is a PBE-GGA calculation of an optimized crystal structure of Sm6Er4Tm, from Alexandria.

a = 6.6070 Å, b = 6.6070 Å, c = 9.7189 Å
α = 109.87°, β = 109.87°, γ = 90.00°
Last column: nearest neighbours and their distance in Å.
Fractional positions:
1 Sm 0.8641 0.4873 0.3513  5 Er 3.36-3.57, 1 Tm 3.47, 1 Sm 3.52
2 Sm 0.4873 0.8641 0.3513  5 Er 3.36-3.57, 1 Tm 3.47, 1 Sm 3.52
3 Sm 0.5127 0.5127 0.6487  5 Er 3.36-3.57, 1 Tm 3.47, 1 Sm 3.52
4 Sm 0.0000 0.5000 0.0000  4 Er 3.26, 2 Tm 3.30
5 Sm 0.1359 0.1359 0.6487  5 Er 3.36-3.57, 1 Tm 3.47, 1 Sm 3.52
6 Sm 0.5000 0.0000 0.0000  4 Er 3.26, 2 Tm 3.30
7 Er 0.0520 0.6932 0.7451  7 Sm 3.26-3.57, 1 Er 3.35
8 Er 0.9480 0.9480 0.2549  7 Sm 3.26-3.57, 1 Er 3.35
9 Er 0.6932 0.0520 0.7451  7 Sm 3.26-3.57, 1 Er 3.35
10 Er 0.3068 0.3068 0.2549  7 Sm 3.26-3.57, 1 Er 3.35
11 Tm 0.5000 0.5000 0.0000  8 Sm 3.30-3.47

Energy above the lowest structure with this stoichiometry in meV per atom: 186
Electronic total energy in eV per cell: -47.67
Size of the total moment in μB per atom: 0.000
Space-group type: I-42m, No. 121
ΔE_f in eV per atom: 0.3057


# 4
The following is a PBE-GGA calculation of an optimized crystal structure of HfCuTe2N, from Alexandria.

a = 5.3021 Å, b = 5.3021 Å, c = 3.6105 Å
α = 90.00°, β = 90.00°, γ = 90.00°
Last column: nearest neighbours and their distance in Å.
Fractional positions:
1 Te 0.0000 0.5000 0.0000  2 Cu 2.65
2 Te 0.5000 0.0000 0.0000  2 Cu 2.65
3 Hf 0.5000 0.5000 0.5000  8 Te 3.21
4 Cu 0.0000 0.0000 0.0000  2 N 1.81
5 N 0.0000 0.0000 0.5000  2 Cu 1.81

Energy above the lowest structure with this stoichiometry in meV per atom: 295
Electronic total energy in eV per cell: -25.67
Size of the total moment in μB per atom: 0.299
Space-group type: P4/mmm, No. 123
Formation energy (no corrections) in eV per atom: 0.60


# 5
The following is a PBE-GGA calculation of an optimized crystal structure of Ti4Ge2C, from Alexandria.

a = 4.0164 Å, b = 4.0164 Å, c = 7.3607 Å
α = 74.17°, β = 74.17°, γ = 90.00°
Last column: nearest neighbours and their distance in Å.
Fractional positions:
1 Ge 0.3563 0.3563 0.2874  9 Ti 2.66-2.85
2 Ge 0.6437 0.6437 0.7126  9 Ti 2.66-2.85
3 C 0.0000 0.0000 0.0000  6 Ti 2.01-2.18
4 Ti 0.1603 0.1603 0.6795  1 C 2.18
5 Ti 0.8397 0.8397 0.3205  1 C 2.18
6 Ti 0.0000 0.5000 0.0000  2 C 2.01
7 Ti 0.5000 0.0000 0.0000  2 C 2.01

Energy above the lowest structure with this stoichiometry in meV per atom: 26
Electronic total energy in eV per cell: -54.33
Size of the total moment in μB per atom: 0.000
Space-group type: I4/mmm, No. 139
ΔE_f in eV per atom: -0.6125


# 6
The following is a PBE-GGA calculation of an optimized crystal structure of Rb4HgBi, from Alexandria.

a = 6.5984 Å, b = 10.4431 Å, c = 10.4431 Å
α = 115.55°, β = 100.57°, γ = 100.57°
Last column: nearest neighbours and their distance in Å.
Fractional positions:
1 Rb 0.8341 0.6092 0.7434  3 Rb 3.70-4.06, 3 Bi 3.88-4.08, 2 Hg 3.89-4.01
2 Rb 0.0837 0.9476 0.3179  2 Bi 3.83-3.95, 3 Rb 3.91-4.25, 2 Hg 3.92
3 Rb 0.6659 0.2566 0.3908  3 Rb 3.70-4.06, 3 Bi 3.88-4.08, 2 Hg 3.89-4.01
4 Rb 0.4163 0.6821 0.0524  2 Bi 3.83-3.95, 3 Rb 3.91-4.25, 2 Hg 3.92
5 Rb 0.5837 0.3179 0.9476  2 Bi 3.83-3.95, 3 Rb 3.91-4.25, 2 Hg 3.92
6 Rb 0.3341 0.7434 0.6092  3 Rb 3.70-4.06, 3 Bi 3.88-4.08, 2 Hg 3.89-4.01
7 Rb 0.9163 0.0524 0.6821  2 Bi 3.83-3.95, 3 Rb 3.91-4.25, 2 Hg 3.92
8 Rb 0.1659 0.3908 0.2566  3 Rb 3.70-4.06, 3 Bi 3.88-4.08, 2 Hg 3.89-4.01
9 Hg 0.2500 0.0010 0.9990  2 Hg 3.30
10 Hg 0.7500 0.9990 0.0010  2 Hg 3.30
11 Bi 0.7500 0.6369 0.3631  10 Rb 3.83-4.08
12 Bi 0.2500 0.3631 0.6369  10 Rb 3.83-4.08

Electronic total energy in eV per cell: -19.13
Size of the total moment in μB per atom: 0.000
Space-group type: C2/c, No. 15
ΔE_f in eV per atom: -0.2523